VASP calculation (GGA-PBE) on crystalline ErCu6Si2 at its relaxed geometry.

Structure (POSCAR):
```
ErCu6Si2
1.0
-3.1592 2.3751 0.5506
-0.7624 -0.1063 -3.9156
-4.6002 -6.3667 1.0685
Er Cu Si
1 6 2
Cartesian
0.0000 0.0000 0.0000
-1.7773 -1.9854 -1.6336
-2.9757 -0.7447 0.5996
-3.5853 -4.4876 -1.2136
-4.7837 -3.2469 1.0195
-4.2609 -2.0489 -1.1483
-2.3001 -3.1833 0.5342
-2.6398 0.1946 -1.5248
-5.8819 -4.2924 -0.7718
```

Results
Formation energy from raw total energies   -285 meV per atom
Magnetic moment   0.00 μB/cell
Electronic total energy   -4.728 eV/atom
Space-group type   P4/mmm